ZnIn2I2: optimized geometry, PBE.

Output
**ΔE_f (raw)**: -0.192 eV per atom
**Electronic total energy**: -21.6 eV per cell
**Fermi-level density of states**: 0.00 states/eV/atom
**Total magnetization**: 0.00 Bohr magnetons per cell
**Space group**: P4/mbm (127)

Cell lengths 8.554, 8.554, 4.853 Å; angles 90.00, 90.00, 90.00 degrees
Positions (direct):
1 Zn 0.000 0.000 0.000
2 Zn 0.500 0.500 0.000
3 In 0.142 0.358 0.000
4 In 0.358 0.858 0.000
5 In 0.642 0.142 0.000
6 In 0.858 0.642 0.000
7 I 0.171 0.671 0.500
8 I 0.329 0.171 0.500
9 I 0.671 0.829 0.500
10 I 0.829 0.329 0.500